TiHg3C, relaxed, DFT PBE; ΔH_f (0 K) = 1.25 eV/atom; SG = Pm-3m; Fermi-level density of states = 3.8 states/eV/cell; E above lowest polymorph = 0 meV/atom
1.0
-0.499 -2.155 -4.116
-3.314 -2.737 1.835
-3.257 3.115 -1.236
C Hg Ti
1 3 1
Cartesian
0.000 0.000 0.000
-1.657 -1.368 0.917
-1.628 1.558 -0.618
-0.250 -1.078 -2.058
-3.535 -0.888 -1.759

=====

CsPmGe2I8, relaxed, DFT PBE; formation energy without anion corrections = -0.83 eV/atom; SG = P-1; Fermi-level density of states = 0.0 states/eV/cell
1.0
-1.262 -6.341 -4.470
-1.085 -4.631 5.501
-10.915 1.784 -0.932
Cs Pm Ge I
1 1 2 8
Cartesian
-5.458 0.892 -0.466
0.000 0.000 0.000
-9.796 -3.470 -0.380
-3.466 -5.718 0.480
-3.138 -4.242 3.245
-1.788 -7.858 1.160
-3.676 -6.176 -2.491
-10.124 -4.946 -3.146
-11.473 -1.330 -1.061
-9.585 -3.013 2.590
-5.909 -6.604 1.082
-7.352 -2.584 -0.983

=====

KBeOs2, relaxed, DFT PBE; ΔH_f (0 K) = 0.86 eV/atom; SG = Immm; Fermi-level density of states = 3.7 states/eV/cell
1.0
-0.339 3.499 4.525
0.221 1.205 5.598
4.241 1.760 1.549
Be K Os
1 1 2
Cartesian
3.092 4.848 8.754
1.031 1.616 2.918
4.052 1.887 1.921
2.251 3.104 5.464

=====

KSiSe, relaxed, DFT PBE; formation energy without anion corrections = 0.18 eV/atom; SG = F-43m; Fermi-level density of states = 2.0 states/eV/cell; E above lowest polymorph = 372 meV/atom
1.0
-3.145 1.858 3.493
-4.998 -0.265 -0.703
-2.786 -3.138 2.818
K Se Si
1 1 1
Cartesian
-5.464 -0.772 2.804
-8.196 -1.158 4.206
0.000 0.000 0.000

=====

no.,spin magnetization (μB per cell)
1,1.70
2,0.00
3,0.00
4,0.00